No. 1
The following is a PBE-GGA calculation of crystalline LuPuGaAg at its relaxed geometry, from Alexandria.

Cell: 7.190 7.190 7.190 Å, 90.00 90.00 90.00°
Space group F-43m (No. 216)
Inequivalent atoms, fractional coordinates:
Lu (0.000, 0.000, 0.000) [4 per cell]
Pu (0.000, 0.000, 0.500) [4 per cell]
Ga (0.250, 0.250, 0.250) [4 per cell]
Ag (0.250, 0.250, 0.750) [4 per cell]



No. 2
The following is a PBE-GGA calculation of crystalline LuGaAgRu at its relaxed geometry, from Alexandria.

Cell: 6.548 6.548 6.548 Å, 90.00 90.00 90.00°
Space group F-43m (No. 216)
Inequivalent atoms, fractional coordinates:
Lu (0.000, 0.000, 0.000) [4 per cell]
Ga (0.000, 0.000, 0.500) [4 per cell]
Ag (0.250, 0.250, 0.750) [4 per cell]
Ru (0.250, 0.250, 0.250) [4 per cell]



No. 3
The following is a PBE-GGA calculation of crystalline LuScGaAg at its relaxed geometry, from Alexandria.

Cell: 6.944 6.944 6.944 Å, 90.00 90.00 90.00°
Space group F-43m (No. 216)
Inequivalent atoms, fractional coordinates:
Lu (0.000, 0.000, 0.000) [4 per cell]
Sc (0.000, 0.000, 0.500) [4 per cell]
Ga (0.250, 0.250, 0.750) [4 per cell]
Ag (0.250, 0.250, 0.250) [4 per cell]



No. 4
The following is a PBE-GGA calculation of crystalline SmLuGaAg at its relaxed geometry, from Alexandria.

Cell: 7.236 7.236 7.236 Å, 90.00 90.00 90.00°
Space group F-43m (No. 216)
Inequivalent atoms, fractional coordinates:
Sm (0.000, 0.000, 0.000) [4 per cell]
Lu (0.000, 0.000, 0.500) [4 per cell]
Ga (0.250, 0.250, 0.750) [4 per cell]
Ag (0.250, 0.250, 0.250) [4 per cell]



No. 5
The following is a PBE-GGA calculation of crystalline SrLuGaAg at its relaxed geometry, from Alexandria.

Cell: 7.418 7.418 7.418 Å, 90.00 90.00 90.00°
Space group F-43m (No. 216)
Inequivalent atoms, fractional coordinates:
Sr (0.000, 0.000, 0.000) [4 per cell]
Lu (0.000, 0.000, 0.500) [4 per cell]
Ga (0.250, 0.250, 0.750) [4 per cell]
Ag (0.250, 0.250, 0.250) [4 per cell]



No. 6
The following is a PBE-GGA calculation of crystalline LuZnGaAg at its relaxed geometry, from Alexandria.

Cell: 6.678 6.678 6.678 Å, 90.00 90.00 90.00°
Space group F-43m (No. 216)
Inequivalent atoms, fractional coordinates:
Lu (0.000, 0.000, 0.000) [4 per cell]
Zn (0.250, 0.250, 0.750) [4 per cell]
Ga (0.250, 0.250, 0.250) [4 per cell]
Ag (0.000, 0.000, 0.500) [4 per cell]



Let's list E_form in order: -0.24; -0.26; -0.46; -0.44; -0.29; -0.29 eV/atom.
Let's list total DFT energy (no corrections) in order: -25.7; -20.7; -18.6; -16.9; -13.2; -12.8 eV per formula unit.